# 1
Below is crystalline ScP2Pd at its relaxed geometry, with properties calculated at the GGA-PBEsol level.

The total magnetization comes out at 0.0 μB/f.u. Its total energy is -6.589 eV/atom.

The space group is Fm-3m (No. 225) and the conventional cell measures 6.2374, 6.2374 and 6.2374 Å, with angles of 90.00, 90.00 and 90.00 degrees. The distinct sites, in fractional coordinates, are Sc at (0.0000, 0.0000, 0.0000), P at (0.2500, 0.2500, 0.2500) and Pd at (0.0000, 0.0000, 0.5000).

# 2
Below is crystalline FePd3S at its relaxed geometry, with properties calculated at the GGA-PBEsol level.

The total magnetization comes out at 3.5 μB/f.u. Its total energy is -5.940 eV/atom. The formation energy without anion corrections comes out at 29.38 kJ/mol of atoms.

The space group is Pm-3m (No. 221) and the conventional cell measures 4.3799, 4.3799 and 4.3799 Å, with angles of 90.00, 90.00 and 90.00 degrees. The distinct sites, in fractional coordinates, are Fe at (0.0000, 0.0000, 0.0000), Pd at (0.0000, 0.5000, 0.5000) and S at (0.5000, 0.5000, 0.5000).

# 3
Below is crystalline Co3B7IO13 at its relaxed geometry, with properties calculated at the GGA-PBEsol level.

The total magnetization comes out at 9.0 μB/f.u. Its total energy is -7.832 eV/atom. The formation energy without anion corrections comes out at -183.41 kJ/mol of atoms.

The space group is F-43c (No. 219) and the conventional cell measures 12.0500, 12.0500 and 12.0500 Å, with angles of 90.00, 90.00 and 90.00 degrees. The distinct sites, in fractional coordinates, are Co at (0.0000, 0.0000, 0.2500), B at (0.0000, 0.2500, 0.2500), B at (0.1700, 0.1700, 0.1700), I at (0.0000, 0.0000, 0.0000), O at (0.0700, 0.1519, 0.2318) and O at (0.2500, 0.2500, 0.2500).

# 4
Below is crystalline Zr3AgRu at its relaxed geometry, with properties calculated at the GGA-PBEsol level.

The total magnetization comes out at 0.0 μB/f.u. Its total energy is -7.735 eV/atom.

The space group is Pm-3m (No. 221) and the conventional cell measures 4.9165, 4.9165 and 4.9165 Å, with angles of 90.00, 90.00 and 90.00 degrees. The distinct sites, in fractional coordinates, are Zr at (0.0000, 0.0000, 0.5000), Ag at (0.5000, 0.5000, 0.5000) and Ru at (0.0000, 0.0000, 0.0000).

# 5
Below is crystalline LiLaSe2 at its relaxed geometry, with properties calculated at the GGA-PBEsol level.

The total magnetization comes out at 0.0 μB/f.u. Its total energy is -5.150 eV/atom. The formation energy without anion corrections comes out at -134.73 kJ/mol of atoms.

The space group is I-4m2 (No. 119) and the conventional cell measures 4.1306, 4.1306 and 10.6461 Å, with angles of 90.00, 90.00 and 90.00 degrees. The distinct sites, in fractional coordinates, are Li at (0.0000, 0.0000, 0.0000), La at (0.0000, 0.5000, 0.7500), Se at (0.0000, 0.0000, 0.5000) and Se at (0.0000, 0.5000, 0.2500).

# 6
Below is crystalline Y2CdCl at its relaxed geometry, with properties calculated at the GGA-PBEsol level.

The total magnetization comes out at 0.0 μB/f.u. Its total energy is -4.869 eV/atom. The formation energy without anion corrections comes out at -63.36 kJ/mol of atoms.

The space group is Imm2 (No. 44) and the conventional cell measures 3.3674, 4.8026 and 12.1730 Å, with angles of 90.00, 90.00 and 90.00 degrees. The distinct sites, in fractional coordinates, are Y at (0.0000, 0.0000, 0.0000), Y at (0.0000, 0.5000, 0.2451), Cd at (0.0000, 0.5000, 0.8135) and Cl at (0.0000, 0.0000, 0.5603).